# Tb3BWO9 (GGA+U, relaxed)
# DOS at the Fermi energy   0.0 states/eV/f.u.
# Energy   -8.20 eV/atom
data_Tb3BWO9
_chemical_formula_sum 'Tb6 B2 W2 O18'
_cell_length_a 8.6300
_cell_length_b 8.6300
_cell_length_c 5.4246
_cell_angle_alpha 90.00
_cell_angle_beta 90.00
_cell_angle_gamma 120.00
_symmetry_space_group_name_H-M 'P 63'
_symmetry_Int_Tables_number 173
_symmetry_space_group_name_Hall 'P 6c'
loop_
_atom_site_label
_atom_site_type_symbol
_atom_site_fract_x
_atom_site_fract_y
_atom_site_fract_z
_atom_site_occupancy
Tb1 Tb 0.0778 0.7207 0.0000 1
B1 B 0.0000 0.0000 0.1816 1
W1 W 0.3333 0.6667 0.5413 1
O1 O 0.0647 0.8827 0.6733 1
O2 O 0.1304 0.5201 0.7700 1
O3 O 0.2034 0.4617 0.3332 1